Record 1
The following is a DFT calculation (PBE-GGA) of crystalline MgSn2Te4Pb at its relaxed geometry.

Properties
Uncorrected energy in Ry per atom: -0.269
Uncorrected formation energy in eV/atom: -0.422
Space group: No. 10
Size of the total moment in μB/cell: 0.000

Unit cell a=4.4933 b=7.7504 c=7.8018 alpha=70.62 beta=90.00 gamma=90.00
Last column: nearest neighbours and their distance in Å.
Sites, in units of the cell vectors:
Mg (0.0000, 0.5000, 0.5000)  6 Te 3.07-3.09
Sn (0.0000, 0.0000, 0.0000)  6 Te 3.27-3.28
Sn (0.5000, 0.0000, 0.5000)  6 Te 3.14
Te (0.0000, 0.7471, 0.7362)  1 Mg 3.07, 3 Sn 3.14-3.28, 2 Pb 3.21
Te (0.0000, 0.2529, 0.2638)  1 Mg 3.07, 3 Sn 3.14-3.28, 2 Pb 3.21
Te (0.5000, 0.7385, 0.2669)  2 Mg 3.09, 3 Sn 3.14-3.27, 1 Pb 3.21
Te (0.5000, 0.2615, 0.7331)  2 Mg 3.09, 3 Sn 3.14-3.27, 1 Pb 3.21
Pb (0.5000, 0.5000, 0.0000)  6 Te 3.21


Record 2
The following is a DFT calculation (PBE-GGA) of crystalline Ac3Si2Ge2 at its relaxed geometry.

Properties
Uncorrected energy in Ry per atom: -0.388
Uncorrected formation energy in eV/atom: -0.653
Space group: No. 12
Energy above the lowest structure with this stoichiometry in meV/atom: 0
Size of the total moment in μB/cell: 0.000

Unit cell a=4.3932 b=6.2235 c=8.6866 alpha=117.25 beta=90.00 gamma=110.67
Last column: nearest neighbours and their distance in Å.
Sites, in units of the cell vectors:
Ac (0.3267, 0.6534, 0.3610)  5 Ge 3.22-3.45, 3 Si 3.25-3.28, 1 Ac 3.55
Ac (0.6733, 0.3466, 0.6390)  5 Ge 3.22-3.45, 3 Si 3.25-3.28, 1 Ac 3.55
Ac (0.5000, 0.0000, 0.0000)  6 Si 3.25-3.46, 4 Ge 3.32
Si (0.8005, 0.6011, 0.0697)  1 Ge 2.46, 2 Si 2.51
Si (0.1995, 0.3989, 0.9303)  1 Ge 2.46, 2 Si 2.51
Ge (0.9680, 0.9361, 0.6954)  1 Si 2.46
Ge (0.0320, 0.0639, 0.3046)  1 Si 2.46


Record 3
The following is a DFT calculation (PBE-GGA) of crystalline BePC at its relaxed geometry.

Properties
Formation energy from the elements in eV per atom: 0.218
Uncorrected energy in Ry per atom: -0.434
Space group: No. 1
Energy above the lowest structure with this stoichiometry in meV/atom: 30
Size of the total moment in μB/cell: 0.000

Unit cell a=3.2086 b=4.7404 c=4.7618 alpha=92.34 beta=109.34 gamma=109.52
Last column: nearest neighbours and their distance in Å.
Sites, in units of the cell vectors:
P (0.5596, 0.3881, 0.9210)  2 C 1.81-1.87
P (0.5166, 0.8561, 0.3001)  3 C 1.80-1.94
C (0.3884, 0.9728, 0.9350)  3 Be 1.78-1.92, 2 P 1.80-1.87
C (0.8880, 0.6204, 0.2927)  1 Be 1.79, 3 P 1.81-1.94
Be (0.8358, 0.0357, 0.7778)  2 C 1.78-1.81
Be (0.0374, 0.5823, 0.6825)  2 C 1.79-1.92


size of the total moment of number 2 (Ac3Si2Ge2)?
0.000 μB/cell


What is the formula in the second record?
Ac3Si2Ge2


What is the formula in the third record?
BePC


What is the uncorrected energy in the third record?
-0.434 Ry per atom